# 1
The following is a GGA-PBE calculation of a relaxed structure of RbNdPd, from the Open Quantum Materials Database.

Properties
final energy	-41.75	eV per cell
calculated density	5.6	g/cm3

a = 7.3589 Å, b = 7.3589 Å, c = 7.3589 Å
α = 90.00°, β = 90.00°, γ = 90.00°
Last column: nearest neighbours and their distance in Å.
Space group F-43m (No. 216)
Unique sites:
1 Rb 0.0000 0.0000 0.0000 (multiplicity 4)  4 Pd 3.19
2 Nd 0.0000 0.0000 0.5000 (multiplicity 4)  4 Pd 3.19
3 Pd 0.2500 0.2500 0.7500 (multiplicity 4)  4 Nd 3.19, 4 Rb 3.19

# 2
The following is a GGA-PBE calculation of a relaxed structure of Nd3Sb5Pd6, from the Open Quantum Materials Database.

Properties
final energy	-156.84	eV per cell
calculated density	9.2	g/cm3

a = 4.4654 Å, b = 13.5094 Å, c = 10.1038 Å
α = 90.00°, β = 90.00°, γ = 90.00°
Last column: nearest neighbours and their distance in Å.
Space group Pmmn (No. 59, origin choice 2)
Unique sites:
1 Nd 0.2500 0.0741 0.2452 (multiplicity 4)  8 Pd 3.27-3.62, 6 Sb 3.30-3.34
2 Nd 0.2500 0.7500 0.2431 (multiplicity 2)  6 Sb 3.31, 10 Pd 3.34-3.67
3 Sb 0.2500 0.0872 0.8616 (multiplicity 4)  5 Pd 2.62-2.73
4 Sb 0.2500 0.6241 0.5242 (multiplicity 4)  5 Pd 2.69-2.81
5 Sb 0.2500 0.7500 0.8254 (multiplicity 2)  4 Pd 2.73
6 Pd 0.2500 0.0674 0.6031 (multiplicity 4)  4 Sb 2.62-2.71, 1 Pd 2.80
7 Pd 0.2500 0.2500 0.0185 (multiplicity 2)  4 Sb 2.71-2.73
8 Pd 0.2500 0.2500 0.4721 (multiplicity 2)  2 Pd 2.80, 4 Sb 2.81
9 Pd 0.2500 0.5903 0.9905 (multiplicity 4)  4 Sb 2.69-2.73

# 3
The following is a GGA-PBE calculation of a relaxed structure of NdPdSe3, from the Open Quantum Materials Database.

Properties
final energy	-103.03	eV per cell
calculated density	7.3	g/cm3

a = 4.0534 Å, b = 10.9835 Å, c = 9.9849 Å
α = 90.00°, β = 90.00°, γ = 90.00°
Last column: nearest neighbours and their distance in Å.
Space group Cmcm (No. 63)
Unique sites:
1 Nd 0.0000 0.2232 0.2500 (multiplicity 4)  9 Se 3.03-3.24
2 Pd 0.0000 0.0000 0.0000 (multiplicity 4)  6 Se 2.60-2.62
3 Se 0.0000 0.0721 0.7500 (multiplicity 4)  2 Pd 2.62
4 Se 0.0000 0.3544 0.5265 (multiplicity 8)  2 Pd 2.60

# 4
The following is a GGA-PBE calculation of a relaxed structure of NdSiPd3, from the Open Quantum Materials Database.

Properties
final energy	-30.01	eV per cell
calculated density	8.8	g/cm3

a = 4.1191 Å, b = 4.1191 Å, c = 5.4530 Å
α = 90.00°, β = 90.00°, γ = 90.00°
Last column: nearest neighbours and their distance in Å.
Space group P4mm (No. 99)
Unique sites:
1 Nd 0.0000 0.0000 0.0000 (multiplicity 1)  8 Pd 3.04-3.40, 4 Si 3.26
2 Si 0.5000 0.5000 0.7296 (multiplicity 1)  5 Pd 2.34-2.40
3 Pd 0.0000 0.5000 0.5046 (multiplicity 2)  2 Si 2.40
4 Pd 0.5000 0.5000 0.1589 (multiplicity 1)  1 Si 2.34

# 5
The following is a GGA-PBE calculation of a relaxed structure of Nd3Si4Pd, from the Open Quantum Materials Database.

Properties
final energy	-46.42	eV per cell
calculated density	6.2	g/cm3

a = 5.8914 Å, b = 3.8742 Å, c = 7.7660 Å
α = 90.00°, β = 98.35°, γ = 90.00°
Last column: nearest neighbours and their distance in Å.
Space group Pm (No. 6)
Unique sites:
1 Nd 0.0000 0.0000 0.0000 (multiplicity 1)  6 Si 3.01-3.23
2 Nd 0.1851 0.0000 0.4708 (multiplicity 1)  6 Si 2.97-3.14
3 Nd 0.7021 0.5000 0.6221 (multiplicity 1)  7 Si 3.01-3.25
4 Si 0.2144 0.5000 0.7707 (multiplicity 1)  2 Si 2.50, 1 Pd 2.63
5 Si 0.4784 0.0000 0.8427 (multiplicity 1)  2 Si 2.50, 2 Pd 2.53
6 Si 0.6290 0.0000 0.2939 (multiplicity 1)  2 Si 2.44, 2 Pd 2.70
7 Si 0.8734 0.5000 0.2662 (multiplicity 1)  2 Si 2.44, 1 Pd 2.47
8 Pd 0.5159 0.5000 0.0553 (multiplicity 1)  6 Si 2.47-2.70

# 6
The following is a GGA-PBE calculation of a relaxed structure of NdSi2Pd, from the Open Quantum Materials Database.

Properties
final energy	-46.32	eV per cell
calculated density	6.4	g/cm3

a = 3.8401 Å, b = 5.3166 Å, c = 7.8386 Å
α = 90.00°, β = 90.00°, γ = 90.00°
Last column: nearest neighbours and their distance in Å.
Space group Pmc2_1 (No. 26)
Unique sites:
1 Nd 0.0000 0.0016 0.0000 (multiplicity 2)  6 Si 2.99-3.20, 4 Pd 3.27-3.29
2 Si 0.0000 0.4749 0.7503 (multiplicity 2)  2 Si 2.49, 4 Pd 2.74-2.76
3 Si 0.5000 0.2263 0.2511 (multiplicity 2)  2 Pd 2.44, 2 Si 2.49
4 Pd 0.5000 0.4970 0.5019 (multiplicity 2)  2 Si 2.44

# 7
The following is a GGA-PBE calculation of a relaxed structure of NdSi2Pd, from the Open Quantum Materials Database.

Properties
final energy	-96.86	eV per cell
calculated density	6.8	g/cm3

a = 7.3195 Å, b = 3.9903 Å, c = 10.2744 Å
α = 90.00°, β = 90.00°, γ = 90.00°
Last column: nearest neighbours and their distance in Å.
Space group Pnma (No. 62)
Unique sites:
1 Nd 0.1371 0.2500 0.1299 (multiplicity 4)  9 Si 3.04-3.17, 2 Pd 3.31
2 Si 0.1691 0.2500 0.8219 (multiplicity 4)  2 Pd 2.43-2.52, 2 Si 2.44
3 Si 0.2135 0.2500 0.4294 (multiplicity 4)  2 Si 2.44, 3 Pd 2.48-2.59
4 Pd 0.0022 0.2500 0.6176 (multiplicity 4)  5 Si 2.43-2.59

# 8
The following is a GGA-PBE calculation of a relaxed structure of NdSi2Pd, from the Open Quantum Materials Database.

Properties
final energy	-46.89	eV per cell
calculated density	6.8	g/cm3

a = 4.1462 Å, b = 6.2261 Å, c = 5.7922 Å
α = 90.00°, β = 90.00°, γ = 90.00°
Last column: nearest neighbours and their distance in Å.
Space group Pmn2_1 (No. 31)
Unique sites:
1 Nd 0.0000 0.0965 0.0000 (multiplicity 2)  7 Si 3.02-3.22, 4 Pd 3.31-3.36
2 Si 0.0000 0.2701 0.5036 (multiplicity 2)  3 Pd 2.53-2.64, 3 Si 2.62-2.68
3 Si 0.0000 0.6367 0.7464 (multiplicity 2)  3 Pd 2.53-2.68, 3 Si 2.62-2.68
4 Pd 0.0000 0.5922 0.2065 (multiplicity 2)  6 Si 2.53-2.68

# 9
The following is a GGA-PBE calculation of a relaxed structure of NdSiPd2, from the Open Quantum Materials Database.

Properties
final energy	-96.85	eV per cell
calculated density	8.6	g/cm3

a = 7.5531 Å, b = 6.9716 Å, c = 5.6762 Å
α = 90.00°, β = 90.00°, γ = 90.00°
Last column: nearest neighbours and their distance in Å.
Space group Pnma (No. 62)
Unique sites:
1 Nd 0.0298 0.2500 0.1427 (multiplicity 4)  8 Pd 3.01-3.30, 3 Si 3.05-3.08
2 Si 0.1245 0.7500 0.3543 (multiplicity 4)  6 Pd 2.53-2.66
3 Pd 0.1743 0.0526 0.5935 (multiplicity 8)  3 Si 2.53-2.66, 1 Pd 2.75

# 10
The following is a GGA-PBE calculation of a relaxed structure of Nd2SmSi4Pd4, from the Open Quantum Materials Database.

Properties
final energy	-133.97	eV per cell
calculated density	7.5	g/cm3

a = 4.1270 Å, b = 4.2512 Å, c = 24.5829 Å
α = 90.00°, β = 90.00°, γ = 90.00°
Last column: nearest neighbours and their distance in Å.
Space group Immm (No. 71)
Unique sites:
1 Nd 0.0000 0.0000 0.1466 (multiplicity 4)  6 Si 3.18-3.20, 8 Pd 3.21-3.29
2 Sm 0.0000 0.5000 0.0000 (multiplicity 2)  4 Pd 3.15, 8 Si 3.19
3 Si 0.0000 0.0000 0.3042 (multiplicity 4)  5 Pd 2.44-2.52
4 Si 0.0000 0.5000 0.4519 (multiplicity 4)  1 Si 2.37, 2 Pd 2.44
5 Pd 0.0000 0.0000 0.4035 (multiplicity 4)  3 Si 2.44
6 Pd 0.0000 0.5000 0.2490 (multiplicity 4)  4 Si 2.44-2.52

# 11
The following is a GGA-PBE calculation of a relaxed structure of Nd3Si2Sn2Pd4, from the Open Quantum Materials Database.

Properties
final energy	-126.96	eV per cell
calculated density	8.0	g/cm3

a = 4.1152 Å, b = 4.4386 Å, c = 26.1609 Å
α = 90.00°, β = 90.00°, γ = 90.00°
Last column: nearest neighbours and their distance in Å.
Space group Immm (No. 71)
Unique sites:
1 Nd 0.0000 0.0000 0.0000 (multiplicity 2)  8 Sn 3.34, 4 Pd 3.52
2 Nd 0.0000 0.5000 0.1561 (multiplicity 4)  8 Pd 3.21-3.31, 4 Si 3.24, 2 Sn 3.36
3 Si 0.0000 0.5000 0.3000 (multiplicity 4)  5 Pd 2.38-2.58
4 Sn 0.0000 0.0000 0.4457 (multiplicity 4)  2 Pd 2.64, 1 Sn 2.84
5 Pd 0.0000 0.0000 0.2498 (multiplicity 4)  4 Si 2.44-2.58
6 Pd 0.0000 0.5000 0.3909 (multiplicity 4)  1 Si 2.38, 2 Sn 2.64